[1]
DFT (GGA-PBE) results for crystalline MoRu at its relaxed geometry.

Structure (CIF):
```
data_MoRu
_chemical_formula_sum 'Mo4 Ru4'
_space_group_name_H-M_alt 'P 42/m n m'
_space_group_IT_number 136
_space_group_name_Hall '-P 4n 2n'
_cell_length_a 5.210
_cell_length_b 5.210
_cell_length_c 4.846
_cell_angle_alpha 90.00
_cell_angle_beta 90.00
_cell_angle_gamma 90.00
loop_
_atom_site_label
_atom_site_fract_x
_atom_site_fract_y
_atom_site_fract_z
Mo1 0.184 0.184 0.000
Ru1 0.183 0.183 0.500
```

[2]
DFT (GGA-PBE) results for crystalline MnAlGa2 at its relaxed geometry.

Structure (CIF):
```
data_MnAlGa2
_chemical_formula_sum 'Mn1 Al1 Ga2'
_space_group_name_H-M_alt 'P 4/m m m'
_space_group_IT_number 123
_space_group_name_Hall '-P 4 2'
_cell_length_a 3.918
_cell_length_b 3.918
_cell_length_c 3.939
_cell_angle_alpha 90.00
_cell_angle_beta 90.00
_cell_angle_gamma 90.00
loop_
_atom_site_label
_atom_site_fract_x
_atom_site_fract_y
_atom_site_fract_z
Mn1 0.000 0.000 0.000
Al1 0.500 0.500 0.000
Ga1 0.000 0.500 0.500
```

[3]
DFT (GGA-PBE) results for crystalline Sm2PuCu12Ni3 at its relaxed geometry.

Structure (CIF):
```
data_Sm2PuCu12Ni3
_chemical_formula_sum 'Sm6 Pu3 Cu36 Ni9'
_space_group_name_H-M_alt 'R -3 m'
_space_group_IT_number 166
_space_group_name_Hall '-R 3 2"'
_cell_length_a 7.9334
_cell_length_b 7.9334
_cell_length_c 19.1651
_cell_angle_alpha 90.00
_cell_angle_beta 90.00
_cell_angle_gamma 120.00
loop_
_atom_site_label
_atom_site_fract_x
_atom_site_fract_y
_atom_site_fract_z
Sm1 0.0000 0.0000 0.0908
Pu1 0.0000 0.0000 0.5000
Cu1 0.0136 0.5068 0.3513
Cu2 0.1055 0.2109 0.2207
Ni1 0.0000 0.5000 0.0000
```

The evaluated energy of formation for the records listed, in turn: 146 -12 772 kJ/mol of formula units.